No. 1
Material: Eu3Ga5
Method: DFT, PBE
State: relaxed

Output
**Formation enthalpy at 0 K**: -0.5422 eV per atom
**Energy**: -6.287 eV per atom
**ρ**: 7.007 g/cm³

a = 4.587 Å, b = 10.926 Å, c = 15.214 Å
α = 90.00°, β = 90.00°, γ = 90.00°
Space group Cmcm (No. 63)
Unique sites:
Eu1 0.000 0.091 0.109
Eu2 0.000 0.373 0.250
Ga1 0.000 0.206 0.599
Ga2 0.000 0.333 0.750
Ga3 0.000 0.384 0.034

=====

No. 2
Material: EuGdGa2
Method: DFT, PBE
State: relaxed

Output
**Formation enthalpy at 0 K**: -0.4960 eV per atom
**Distance to the lowest polymorph of the same formula**: 0 meV/atom
**Energy**: -8.098 eV per atom
**ρ**: 7.468 g/cm³

a = 5.249 Å, b = 5.249 Å, c = 3.622 Å
α = 90.00°, β = 90.00°, γ = 90.00°
Space group P4/mmm (No. 123)
Unique sites:
Eu1 0.000 0.000 0.000
Gd1 0.500 0.500 0.000
Ga1 0.000 0.500 0.500

=====

No. 3
Material: EuGdGa2
Method: DFT, PBE
State: relaxed

Output
**Formation enthalpy at 0 K**: -0.4910 eV per atom
**Distance to the lowest polymorph of the same formula**: 5 meV/atom
**Energy**: -8.093 eV per atom
**ρ**: 7.475 g/cm³

a = 7.360 Å, b = 7.360 Å, c = 7.360 Å
α = 90.00°, β = 90.00°, γ = 90.00°
Space group Fm-3m (No. 225)
Unique sites:
Eu1 0.000 0.000 0.000
Gd1 0.000 0.000 0.500
Ga1 0.250 0.250 0.250

=====

No. 4
Material: EuGdGa
Method: DFT, PBE
State: relaxed

Output
**Formation enthalpy at 0 K**: -0.2235 eV per atom
**Distance to the lowest polymorph of the same formula**: 0 meV/atom
**Energy**: -9.351 eV per atom
**ρ**: 7.378 g/cm³

a = 5.0900 Å, b = 5.0900 Å, c = 3.8012 Å
α = 90.00°, β = 90.00°, γ = 120.00°
Space group P3m1 (No. 156)
Unique sites:
Eu1 0.0000 0.0000 0.0000
Gd1 0.3333 0.6667 0.4408
Ga1 0.6667 0.3333 0.6512

=====

No. 5
Material: EuGdGa
Method: DFT, PBE
State: relaxed

Output
**Formation enthalpy at 0 K**: 0.2328 eV per atom
**Distance to the lowest polymorph of the same formula**: 456 meV/atom
**Energy**: -8.895 eV per atom
**ρ**: 6.799 g/cm³

a = 3.388 Å, b = 3.388 Å, c = 16.123 Å
α = 90.00°, β = 90.00°, γ = 90.00°
Space group I4mm (No. 107)
Unique sites:
Eu1 0.000 0.000 0.000
Gd1 0.000 0.000 0.798
Ga1 0.000 0.000 0.624

=====

No. 6
Material: EuGdGa
Method: DFT, PBE
State: relaxed

Output
**Formation enthalpy at 0 K**: -0.1989 eV per atom
**Distance to the lowest polymorph of the same formula**: 25 meV/atom
**Energy**: -9.326 eV per atom
**ρ**: 6.597 g/cm³

a = 7.253 Å, b = 7.253 Å, c = 7.253 Å
α = 90.00°, β = 90.00°, γ = 90.00°
Space group F-43m (No. 216)
Unique sites:
Eu1 0.000 0.000 0.000
Gd1 0.000 0.000 0.500
Ga1 0.250 0.250 0.750

=====

No. 7
Material: EuGdGa4
Method: DFT, PBE
State: relaxed

Output
**Formation enthalpy at 0 K**: 0.7096 eV per atom
**Energy**: -5.368 eV per atom
**ρ**: 3.770 g/cm³

a = 10.119 Å, b = 10.119 Å, c = 10.119 Å
α = 90.00°, β = 90.00°, γ = 90.00°
Space group F-43m (No. 216)
Unique sites:
Eu1 0.000 0.000 0.000
Gd1 0.250 0.250 0.750
Ga1 0.159 0.159 0.159

=====

No. 8
Material: EuGdGaIr
Method: DFT, PBE
State: relaxed

Output
**Formation enthalpy at 0 K**: -0.4826 eV per atom
**Energy**: -9.543 eV per atom
**ρ**: 10.492 g/cm³

a = 7.124 Å, b = 7.124 Å, c = 7.124 Å
α = 90.00°, β = 90.00°, γ = 90.00°
Space group F-43m (No. 216)
Unique sites:
Eu1 0.000 0.000 0.000
Gd1 0.000 0.000 0.500
Ga1 0.250 0.250 0.750
Ir1 0.250 0.250 0.250

=====

No. 9
Material: EuGdMgGa
Method: DFT, PBE
State: relaxed

Output
**Formation enthalpy at 0 K**: -0.2963 eV per atom
**Energy**: -7.540 eV per atom
**ρ**: 6.308 g/cm³

a = 7.516 Å, b = 7.516 Å, c = 7.516 Å
α = 90.00°, β = 90.00°, γ = 90.00°
Space group F-43m (No. 216)
Unique sites:
Eu1 0.000 0.000 0.000
Gd1 0.000 0.000 0.500
Mg1 0.250 0.250 0.750
Ga1 0.250 0.250 0.250

=====

No. 10
Material: PrEuGdGa
Method: DFT, PBE
State: relaxed

Output
**Formation enthalpy at 0 K**: -0.0952 eV per atom
**Energy**: -8.136 eV per atom
**ρ**: 7.459 g/cm³

a = 7.736 Å, b = 7.736 Å, c = 7.736 Å
α = 90.00°, β = 90.00°, γ = 90.00°
Space group F-43m (No. 216)
Unique sites:
Pr1 0.000 0.000 0.000
Eu1 0.250 0.250 0.750
Gd1 0.000 0.000 0.500
Ga1 0.250 0.250 0.250

=====

No. 11
Material: EuGdGaSi
Method: DFT, PBE
State: relaxed

Output
**Energy**: -8.641 eV per atom
**ρ**: 7.093 g/cm³

a = 7.250 Å, b = 7.250 Å, c = 7.250 Å
α = 90.00°, β = 90.00°, γ = 90.00°
Space group F-43m (No. 216)
Unique sites:
Eu1 0.000 0.000 0.000
Gd1 0.000 0.000 0.500
Ga1 0.250 0.250 0.750
Si1 0.250 0.250 0.250

=====

No. 12
Material: EuGaGe
Method: DFT, PBE
State: relaxed

Output
**Formation enthalpy at 0 K**: -0.3655 eV per atom
**Energy**: -6.338 eV per atom
**ρ**: 7.073 g/cm³

a = 3.551 Å, b = 3.551 Å, c = 10.963 Å
α = 90.00°, β = 90.00°, γ = 90.00°
Space group I4mm (No. 107)
Unique sites:
Eu1 0.000 0.000 0.000
Ga1 0.000 0.000 0.303
Ge1 0.000 0.000 0.695